Entry 1:
Compound: Mn5Ni4
Source: Alexandria
Functional: PBE-GGA
Structure: relaxed

POSCAR file:
```
Mn5Ni4
1.0
0.4723 -3.9959 3.8005
0.4496 5.4623 -0.7715
-5.5269 -0.1391 -0.2603
Mn Ni
5 4
Cartesian
0.0000 0.0000 0.0000
0.4572 2.2762 0.7686
-3.4131 0.4003 0.8450
0.4646 -0.8098 2.2604
-1.1920 0.9271 1.9237
-1.6707 -1.3667 1.1701
-1.6782 1.7595 -0.3410
-3.3992 3.5638 -0.6908
-3.3840 -2.7683 2.3701
```

Energy relative to the elements in eV per formula unit: 0.336


Entry 2:
Compound: Tl2CrAgBr6
Source: Alexandria
Functional: PBE-GGA
Structure: relaxed

POSCAR file:
```
Tl2CrAgBr6
1.0
-0.8880 7.1473 1.6400
-2.5170 1.2999 -7.0276
-9.9918 -1.8912 3.2289
Br Tl Cr Ag
12 4 2 2
Cartesian
-8.0839 5.6184 -2.6919
-5.3129 0.9375 0.5332
-6.6186 4.2683 0.8747
-8.9704 -0.2984 -0.9091
-12.3677 4.9929 -1.0169
-1.0291 1.5630 -1.1418
-10.2258 2.9793 -3.9380
-6.7781 2.2876 -3.0334
-4.4264 6.8543 -1.2495
-2.3364 2.8315 -4.2673
-11.0604 3.7244 2.1087
-3.1710 3.5766 1.7794
-4.0231 3.5396 -1.4501
-8.5366 5.6893 3.5708
-4.8601 0.8666 -5.7294
-9.3736 3.0162 -0.7086
-5.4399 2.6280 2.4345
-1.2585 0.6499 -3.5138
-6.2544 -0.2957 -1.8993
-0.4440 3.5736 0.8200
```

Formation energy without anion corrections in eV/atom: -0.70


Entry 3:
Compound: ZrPtI2
Source: Alexandria
Functional: PBE-GGA
Structure: relaxed

POSCAR file:
```
ZrPtI2
1.0
6.6677 0.0000 0.0000
0.0000 6.6677 0.0000
3.3339 3.3339 5.7132
I Pt Zr
4 2 2
Cartesian
1.5366 5.0008 1.4283
5.0008 4.8705 4.2849
5.1311 1.6669 1.4283
8.3347 8.4650 4.2849
6.6677 3.3339 2.8566
0.0000 0.0000 0.0000
3.3339 3.3339 0.0000
3.3339 6.6677 2.8566
```

Formation energy without anion corrections in eV/atom: 0.31


Entry 4:
Compound: CrBTe2Cl
Source: Alexandria
Functional: PBE-GGA
Structure: relaxed

POSCAR file:
```
CrBTe2Cl
1.0
4.9763 0.0000 0.0000
0.0000 4.2322 0.0000
0.0000 0.0000 4.9763
B Cr Cl Te
1 1 1 2
Cartesian
0.0000 0.0000 0.0000
2.4881 2.1161 2.4881
0.0000 2.1161 0.0000
2.4881 0.0000 0.0000
0.0000 0.0000 2.4881
```

Formation energy without anion corrections in eV/atom: 0.66


Entry 5:
Compound: Pm3GeRu
Source: Alexandria
Functional: PBE-GGA
Structure: relaxed

POSCAR file:
```
Pm3GeRu
1.0
-2.5301 1.0405 -3.1206
-3.0009 -7.6713 -0.1247
-4.9331 3.5638 5.1878
Pm Ru Ge
6 2 2
Cartesian
-2.6192 0.9765 -0.5485
-4.7334 -2.5868 -0.0221
-6.8451 1.5368 3.0645
-3.7449 -0.3889 2.6687
-7.3648 -3.8053 1.7048
-6.8409 -1.6693 4.7519
-1.9411 -1.7857 0.7409
-6.5012 -1.0293 1.9310
-4.8469 3.1103 4.7281
-4.6034 -5.2172 1.7552
```

Energy relative to the elements in eV per formula unit: -2.114


Entry 6:
Compound: HfHg2TePt
Source: Alexandria
Functional: PBE-GGA
Structure: relaxed

POSCAR file:
```
HfHg2TePt
1.0
-3.5011 3.2366 -2.3676
-2.7454 -4.2750 -1.7844
-2.9521 0.0469 4.4296
Te Hf Hg Pt
1 1 2 1
Cartesian
0.0000 0.0000 0.0000
-1.3727 -2.1375 -0.8922
-1.7505 1.6183 -1.1838
-1.4760 0.0235 2.2148
-4.5993 -0.4957 0.1388
```

Formation energy without anion corrections in eV/atom: 1.14